[1]
Density functional theory data (PBE) for an optimized crystal structure of MnFe2PbBr.

a b c (Å): 4.770 4.549 4.770
angles (deg): 90.00 90.00 90.00
Site moments in Bohr magnetons follow the coordinates.
Positions (direct):
Mn 0.000 0.000 0.000  2.36
Fe 0.500 0.000 0.000  2.83
Br 0.000 0.500 0.000  0.02
Pb 0.500 0.500 0.500  -0.15
Fe 0.000 0.000 0.500  2.97

Calculated values
D(E_F) ... 1.2504 states/eV per atom
Raw formation energy ... 1.006 eV/atom
Spin magnetization ... 8.035 μB/cell



[2]
Density functional theory data (PBE) for an optimized crystal structure of RbMnFeBr2.

a b c (Å): 6.241 6.061 6.241
angles (deg): 90.00 90.00 90.00
Site moments in Bohr magnetons follow the coordinates.
Positions (direct):
Rb 0.000 0.000 0.000  0.02
Br 0.000 0.000 0.500  -0.01
Mn 0.500 0.500 0.500  -4.73
Br 0.500 0.000 0.000  -0.03
Fe 0.000 0.500 0.000  3.34

Calculated values
D(E_F) ... 2.0873 states/eV per atom
Raw formation energy ... 0.942 eV/atom
Spin magnetization ... 1.674 μB/cell



[3]
Density functional theory data (PBE) for an optimized crystal structure of RbMn2FeBr8.

a b c (Å): 7.337 7.655 9.044
angles (deg): 88.04 79.81 56.89
Site moments in Bohr magnetons follow the coordinates.
Positions (direct):
Br 0.032 0.723 0.822  0.11
Fe 0.000 0.000 0.000  3.68
Br 0.436 0.310 0.537  0.07
Mn 0.443 0.573 0.716  4.25
Br 0.204 0.676 0.188  0.11
Br 0.968 0.277 0.178  0.11
Mn 0.557 0.427 0.284  4.25
Br 0.368 0.908 0.860  0.14
Rb 0.000 0.000 0.500  0.00
Br 0.632 0.092 0.140  0.14
Br 0.564 0.690 0.463  0.07
Br 0.796 0.324 0.812  0.11

Calculated values
D(E_F) ... 0.6181 states/eV per atom
Raw formation energy ... -0.782 eV/atom
Spin magnetization ... 14.140 μB/cell